Computed, not measured: a geometry-optimized CdCu4Hg structure at the PBEsol level of DFT.

**DOS at the Fermi energy**: 1.6 states/eV/cell
**Space-group type**: No. 216
**Formation energy**: 44.8 meV per atom

Unit cell a=4.9398 b=4.9398 c=4.9398 alpha=60.00 beta=60.00 gamma=60.00
With the nearest neighbours (Å) after each atom.
Fractional coordinates of all 6 atoms:
Cd  0.0000  0.0000  0.0000  12 Cu 2.90, 4 Hg 3.03
Cu  0.3748  0.3748  0.8755  6 Cu 2.47
Cu  0.8755  0.3748  0.3748  6 Cu 2.47
Cu  0.3748  0.8755  0.3748  6 Cu 2.47
Cu  0.3748  0.3748  0.3748  6 Cu 2.47
Hg  0.7500  0.7500  0.7500  12 Cu 2.90, 4 Cd 3.03



Computed, not measured: a geometry-optimized IrRuPt2 structure at the PBEsol level of DFT.

**DOS at the Fermi energy**: 4.1 states/eV/cell
**Space-group type**: No. 160
**Formation energy**: -12.5 meV per atom

Unit cell a=2.7190 b=2.7190 c=9.0928 alpha=81.40 beta=81.40 gamma=60.00
With the nearest neighbours (Å) after each atom.
Fractional coordinates of all 4 atoms:
Pt  0.7527  0.7527  0.7418  9 Pt 2.72-2.83, 3 Ru 2.72
Pt  0.9986  0.9986  0.0042  9 Pt 2.72-2.83, 3 Ir 2.78
Ru  0.5022  0.5022  0.4933  3 Ir 2.61, 6 Ru 2.72, 3 Pt 2.72
Ir  0.2464  0.2464  0.2608  3 Ru 2.61, 6 Ir 2.72, 3 Pt 2.78



Computed, not measured: a geometry-optimized BeFe2Co structure at the PBEsol level of DFT.

**DOS at the Fermi energy**: 4.6 states/eV/cell
**Space-group type**: No. 47
**Formation energy**: -55.1 meV per atom

Unit cell a=2.7487 b=3.7622 c=3.7989 alpha=90.00 beta=90.00 gamma=90.00
With the nearest neighbours (Å) after each atom.
Fractional coordinates of all 4 atoms:
Be  0.5000  0.0000  0.5000  4 Co 2.33, 4 Fe 2.34
Fe  0.0000  0.0000  0.0000  4 Fe 2.33, 4 Be 2.34
Fe  0.5000  0.5000  0.0000  4 Fe 2.33, 4 Co 2.34
Co  0.0000  0.5000  0.5000  4 Be 2.33, 4 Fe 2.34



Computed, not measured: a geometry-optimized TiBe2F structure at the PBEsol level of DFT.

**DOS at the Fermi energy**: 3.1 states/eV/cell
**Space-group type**: No. 225
**ΔE_f (raw)**: 1.77 eV/f.u.

Unit cell a=4.0806 b=4.0806 c=4.0806 alpha=60.00 beta=60.00 gamma=60.00
With the nearest neighbours (Å) after each atom.
Fractional coordinates of all 4 atoms:
Be  0.7500  0.7500  0.7500  4 F 2.50, 4 Ti 2.50
Be  0.2500  0.2500  0.2500  4 Ti 2.50, 4 F 2.50
F  0.0000  0.0000  0.0000  8 Be 2.50
Ti  0.5000  0.5000  0.5000  8 Be 2.50



Computed, not measured: a geometry-optimized CuPSeS2 structure at the PBEsol level of DFT.

**DOS at the Fermi energy**: 4.0 states/eV/cell
**Space-group type**: No. 123
**ΔE_f (raw)**: 3.55 eV/f.u.

Unit cell a=4.3895 b=4.3895 c=4.5253 alpha=90.00 beta=90.00 gamma=90.00
With the nearest neighbours (Å) after each atom.
Fractional coordinates of all 5 atoms:
S  0.5000  0.0000  0.0000  2 Cu 2.19
S  0.0000  0.5000  0.0000  2 Cu 2.19
Se  0.5000  0.5000  0.5000  4 P 3.10, 8 S 3.15
P  0.0000  0.0000  0.5000  2 Cu 2.26
Cu  0.0000  0.0000  0.0000  4 S 2.19, 2 P 2.26



Computed, not measured: a geometry-optimized MgSnRu structure at the PBEsol level of DFT.

**DOS at the Fermi energy**: 0.4 states/eV/cell
**Space-group type**: No. 107
**Formation energy**: -182.8 meV per atom

Unit cell a=3.3316 b=3.3316 c=5.1449 alpha=108.89 beta=108.89 gamma=90.00
With the nearest neighbours (Å) after each atom.
Fractional coordinates of all 3 atoms:
Sn  0.6488  0.6488  0.2975  4 Ru 2.74, 5 Mg 2.85-2.92
Mg  0.9607  0.9607  0.9214  4 Ru 2.76, 5 Sn 2.85-2.92
Ru  0.3027  0.3027  0.6054  4 Sn 2.74, 4 Mg 2.76



Computed, not measured: a geometry-optimized MgAlCd2 structure at the PBEsol level of DFT.

**DOS at the Fermi energy**: 1.5 states/eV/cell
**Space-group type**: No. 25
**Formation energy**: 10.1 meV per atom

Unit cell a=3.0993 b=4.2905 c=5.9944 alpha=90.00 beta=90.00 gamma=90.00
With the nearest neighbours (Å) after each atom.
Fractional coordinates of all 4 atoms:
Al  0.5000  0.5000  0.7511  6 Cd 2.97-3.03, 4 Mg 3.04, 2 Al 3.10
Cd  0.5000  0.5000  0.2562  2 Al 2.97-3.03, 4 Mg 3.03, 6 Cd 3.09-3.10
Cd  0.0000  0.0000  0.9903  2 Mg 2.93-3.07, 4 Al 3.01, 6 Cd 3.09-3.10
Mg  0.0000  0.0000  0.5023  6 Cd 2.93-3.07, 4 Al 3.04, 2 Mg 3.10



Computed, not measured: a geometry-optimized SmSnIr structure at the PBEsol level of DFT.

**DOS at the Fermi energy**: 6.5 states/eV/cell
**Space-group type**: No. 189
**Formation energy**: -824.5 meV per atom

Unit cell a=4.0791 b=7.3479 c=7.3479 alpha=120.00 beta=90.00 gamma=90.00
With the nearest neighbours (Å) after each atom.
Fractional coordinates of all 9 atoms:
Sn  0.5000  0.0000  0.2528  4 Ir 2.76-2.79
Sn  0.5000  0.7472  0.7472  4 Ir 2.76-2.79
Sn  0.5000  0.2528  0.0000  4 Ir 2.76-2.79
Ir  0.0000  0.0000  0.0000  6 Sn 2.76, 3 Sm 3.02
Ir  0.5000  0.6667  0.3333  3 Sn 2.79, 6 Sm 3.01
Ir  0.5000  0.3333  0.6667  3 Sn 2.79, 6 Sm 3.01
Sm  0.0000  0.4112  0.4112  5 Ir 3.01-3.02, 6 Sn 3.20-3.34
Sm  0.0000  0.0000  0.5888  5 Ir 3.01-3.02, 6 Sn 3.20-3.34
Sm  0.0000  0.5888  0.0000  5 Ir 3.01-3.02, 6 Sn 3.20-3.34



Computed, not measured: a geometry-optimized Mo2PbBr structure at the PBEsol level of DFT.

**DOS at the Fermi energy**: 6.4 states/eV/cell
**Space-group type**: No. 123
**ΔE_f (raw)**: 3.90 eV/f.u.

Unit cell a=3.2455 b=4.6675 c=4.6675 alpha=90.00 beta=90.00 gamma=90.00
With the nearest neighbours (Å) after each atom.
Fractional coordinates of all 4 atoms:
Pb  0.5000  0.5000  0.5000  8 Mo 2.84
Br  0.5000  0.0000  0.0000  8 Mo 2.84
Mo  0.0000  0.0000  0.5000  4 Pb 2.84, 4 Br 2.84
Mo  0.0000  0.5000  0.0000  4 Pb 2.84, 4 Br 2.84



Computed, not measured: a geometry-optimized TaSbIr2Cl structure at the PBEsol level of DFT.

**DOS at the Fermi energy**: 3.7 states/eV/cell
**Space-group type**: No. 123
**ΔE_f (raw)**: 4.35 eV/f.u.

Unit cell a=4.5456 b=4.8480 c=4.8480 alpha=90.00 beta=90.00 gamma=90.00
With the nearest neighbours (Å) after each atom.
Fractional coordinates of all 5 atoms:
Ir  0.0000  0.5000  0.0000  2 Ta 2.42
Ir  0.0000  0.0000  0.5000  2 Ta 2.42
Cl  0.5000  0.0000  0.0000  2 Ta 2.27
Ta  0.0000  0.0000  0.0000  2 Cl 2.27, 4 Ir 2.42
Sb  0.5000  0.5000  0.5000  8 Ir 3.32, 4 Cl 3.43



Computed, not measured: a geometry-optimized ZnCu2Rh structure at the PBEsol level of DFT.

**DOS at the Fermi energy**: 2.9 states/eV/cell
**Space-group type**: No. 35
**Formation energy**: 12.2 meV per atom

Unit cell a=2.5832 b=2.5832 c=8.3727 alpha=90.00 beta=90.00 gamma=115.71
With the nearest neighbours (Å) after each atom.
Fractional coordinates of all 4 atoms:
Cu  0.5000  0.5000  0.7571  6 Cu 2.44-2.58, 2 Rh 2.55
Cu  0.0000  0.0000  0.9974  6 Cu 2.44-2.58, 2 Zn 2.49
Rh  0.0000  0.0000  0.5004  2 Zn 2.54, 2 Cu 2.55, 6 Rh 2.58-2.75
Zn  0.5000  0.5000  0.2451  2 Cu 2.49, 2 Rh 2.54, 6 Zn 2.58-2.75



Computed, not measured: a geometry-optimized TiNbIn3 structure at the PBEsol level of DFT.

**DOS at the Fermi energy**: 7.2 states/eV/cell
**Space-group type**: No. 221
**Formation energy**: 971.5 meV per atom

Unit cell a=5.2153 b=5.2153 c=5.2153 alpha=90.00 beta=90.00 gamma=90.00
With the nearest neighbours (Å) after each atom.
Fractional coordinates of all 5 atoms:
In  0.5000  0.0000  0.0000  2 Nb 2.61
In  0.0000  0.5000  0.0000  2 Nb 2.61
In  0.0000  0.0000  0.5000  2 Nb 2.61
Nb  0.0000  0.0000  0.0000  6 In 2.61
Ti  0.5000  0.5000  0.5000  12 In 3.69